KLa3In: optimized geometry, GGA-PBE.

Structure (POSCAR):
```
KLa3In
1.0
5.5944 0.0000 0.0000
0.0000 5.5944 0.0000
0.0000 0.0000 5.5944
K La In
1 3 1
Cartesian
0.0000 0.0000 0.0000
0.0000 0.0000 2.7972
0.0000 2.7972 0.0000
2.7972 0.0000 0.0000
2.7972 2.7972 2.7972
```

Output
**E_form**: 0.885 eV/atom
**Space group**: Pm-3m (221)



KBe2Cr: optimized geometry, GGA-PBE.

Structure (POSCAR):
```
KBe2Cr
1.0
-2.2874 2.2874 3.2765
2.2874 -2.2874 3.2765
2.2874 2.2874 -3.2765
K Be Cr
1 2 1
Cartesian
0.0000 0.0000 0.0000
2.2874 0.0000 1.6383
0.0000 0.0000 3.2765
0.0000 2.2874 1.6383
```

Output
**E_form**: 1.346 eV/atom
**Space group**: I-4m2 (119)



NaSn3Br7: optimized geometry, GGA-PBE.

Structure (POSCAR):
```
NaSn3Br7
1.0
4.7946 -5.5771 0.0000
4.7946 5.5771 0.0000
-3.0045 0.0000 6.9861
Na Sn Br
1 3 7
Cartesian
0.0000 0.0000 0.0000
3.2924 2.5935 3.4930
4.7946 0.0000 0.0000
3.2924 -2.5935 3.4930
-1.5022 0.0000 3.4930
0.9167 2.3743 5.3695
2.4232 0.0000 1.7973
5.6681 2.3743 1.6166
0.9167 -2.3743 5.3695
4.1616 0.0000 5.1888
5.6681 -2.3743 1.6166
```

Output
**Space group**: C2/m (12)
**Energy relative to the elements, uncorrected**: -0.84 eV/atom



Ga5Pt3: optimized geometry, GGA-PBE.

Structure (POSCAR):
```
Ga5Pt3
1.0
7.2657 0.0000 0.0000
-3.6328 6.2923 0.0000
0.0000 0.0000 5.9263
Ga Pt
10 6
Cartesian
-0.8917 1.5445 1.4816
-2.7411 4.7478 4.4447
1.7834 0.0000 1.4816
0.8917 1.5445 4.4447
0.0000 4.1948 0.0000
0.0000 4.1948 2.9632
3.6328 2.0974 0.0000
3.6328 2.0974 2.9632
5.4823 0.0000 4.4447
2.7411 4.7478 1.4816
-1.4434 2.5001 4.4447
-2.1894 3.7922 1.4816
2.8869 0.0000 4.4447
1.4434 2.5001 1.4816
4.3788 0.0000 1.4816
2.1894 3.7922 4.4447
```

Output
**E_form**: -0.439 eV/atom
**Space group**: P6_3/mcm (193)



Th2Ni2Hg3: optimized geometry, GGA-PBE.

Structure (POSCAR):
```
Th2Ni2Hg3
1.0
2.1063 -10.1571 0.0000
2.1063 10.1571 0.0000
0.0000 0.0000 3.7165
Th Ni Hg
2 2 3
Cartesian
2.1063 6.6199 0.0000
2.1063 -6.6199 0.0000
2.1063 4.3346 1.8583
2.1063 -4.3346 1.8583
0.0000 0.0000 0.0000
2.1063 1.5580 1.8583
2.1063 -1.5580 1.8583
```

Output
**E_form**: -0.349 eV/atom
**Space group**: Cmmm (65)



CaMg6Ga: optimized geometry, GGA-PBE.

Structure (POSCAR):
```
CaMg6Ga
1.0
5.1062 0.0000 0.0000
0.0000 3.1239 5.9792
0.0000 -3.1239 5.9792
Ca Mg Ga
1 6 1
Cartesian
0.0000 0.0000 0.0000
0.0000 -1.5465 8.9131
0.0000 1.5465 8.9131
2.5531 -1.5357 4.7430
2.5531 0.0000 1.9652
2.5531 0.0000 7.5682
2.5531 1.5357 4.7430
0.0000 0.0000 5.5789
```

Output
**E_form**: -0.045 eV/atom
**Space group**: Amm2 (38)